# ScCd2Cu

ScCd2Cu after structural relaxation (PBE-GGA, the Alexandria database).

## Properties
Magnetization, μB per formula unit: 0.00

a b c (Å): 7.840 7.840 6.204
angles (deg): 50.81 50.81 90.00
Sites, in units of the cell vectors:
Sc1 0.500 0.500 0.000
Sc2 0.250 0.750 0.500
Cu1 0.000 0.000 0.000
Cu2 0.750 0.250 0.500
Cd1 0.672 0.125 0.250
Cd2 0.078 0.625 0.250
Cd3 0.375 0.328 0.750
Cd4 0.875 0.922 0.750

# Er4BiC

Er4BiC after structural relaxation (PBE-GGA, the Alexandria database).

## Properties
Magnetization, μB per formula unit: 0.00
Polymorph energy (0 for the lowest one), eV per formula unit: 0.618

a b c (Å): 4.976 10.107 9.161
angles (deg): 121.46 90.00 104.25
Sites, in units of the cell vectors:
Er1 0.022 0.043 0.350
Er2 0.180 0.361 0.962
Er3 0.762 0.525 0.331
Er4 0.610 0.220 0.652
Er5 0.390 0.780 0.348
Er6 0.238 0.475 0.669
Er7 0.820 0.639 0.038
Er8 0.978 0.957 0.650
Bi1 0.153 0.306 0.259
Bi2 0.847 0.694 0.741
C1 0.110 0.221 0.652
C2 0.890 0.779 0.348

# LaMgAl2Hg2

LaMgAl2Hg2 after structural relaxation (PBE-GGA, the Alexandria database).

## Properties
Magnetization, μB per formula unit: 0.00

a b c (Å): 4.639 4.639 7.334
angles (deg): 90.00 90.00 120.00
Sites, in units of the cell vectors:
La1 0.000 0.000 0.000
Mg1 0.000 0.000 0.500
Al1 0.667 0.333 0.730
Al2 0.333 0.667 0.270
Hg1 0.667 0.333 0.287
Hg2 0.333 0.667 0.713

| no. | ΔH_f (0 K) (eV/atom) |
| --- | --- |
| 1 | 0.10 |
| 2 | -0.14 |
| 3 | -0.33 |